Record 1
# MgIr2Br GGA-PBE relaxed
data_MgIr2Br
_chemical_formula_sum 'Mg2 Ir4 Br2'
_symmetry_space_group_name_H-M 'C 1 m 1'
_symmetry_Int_Tables_number 8
_cell_length_a 8.308
_cell_length_b 3.061
_cell_length_c 6.734
_cell_angle_alpha 90.00
_cell_angle_beta 94.83
_cell_angle_gamma 90.00
loop_
_symmetry_equiv_pos_as_xyz
'x,y,z'
'x,-y,z'
'x+1/2,y+1/2,z'
'x+1/2,-y+1/2,z'
loop_
_atom_site_label
_atom_site_fract_x
_atom_site_fract_y
_atom_site_fract_z
Mg1 0.000 0.000 0.000
Ir1 0.214 0.500 0.238
Ir2 0.451 0.000 0.353
Br1 0.355 0.000 0.723
# Energy relative to the lowest polymorph listed for this composition (kJ/mol of atoms): 0.00
# Total energy (eV for the cell shown): -41.15
# Mass density (kg/m³): 9509
# Raw formation energy (eV/f.u.): 0.41

=====

Record 2
# Na2LaInS4 GGA-PBE relaxed
data_Na2LaInS4
_chemical_formula_sum 'Na8 La4 In4 S16'
_symmetry_space_group_name_H-M 'I m m a'
_symmetry_Int_Tables_number 74
_symmetry_space_group_name_Hall '-I 2b 2'
_cell_length_a 7.855
_cell_length_b 8.365
_cell_length_c 11.500
_cell_angle_alpha 90.00
_cell_angle_beta 90.00
_cell_angle_gamma 90.00
loop_
_atom_site_label
_atom_site_fract_x
_atom_site_fract_y
_atom_site_fract_z
Na1 0.000 0.000 0.000
Na2 0.250 0.250 0.250
La1 0.000 0.000 0.500
In1 0.250 0.250 0.750
S1 0.000 0.031 0.752
S2 0.247 0.250 0.506
# Total energy (eV for the cell shown): -149.54
# Mass density (kg/m³): 3762
# Raw formation energy (eV/f.u.): -10.57

=====

Record 3
# ZnGaAu3 GGA-PBE relaxed
data_ZnGaAu3
_chemical_formula_sum 'Zn2 Ga2 Au6'
_symmetry_space_group_name_H-M 'P 1 21/m 1'
_symmetry_Int_Tables_number 11
_cell_length_a 5.272
_cell_length_b 4.560
_cell_length_c 7.565
_cell_angle_alpha 90.00
_cell_angle_beta 105.25
_cell_angle_gamma 90.00
loop_
_symmetry_equiv_pos_as_xyz
'x,y,z'
'-x,-y,-z'
'-x,y+1/2,-z'
'x,-y+1/2,z'
loop_
_atom_site_label
_atom_site_fract_x
_atom_site_fract_y
_atom_site_fract_z
Zn1 0.161 0.250 0.278
Ga1 0.423 0.250 0.696
Au1 0.036 0.250 0.895
Au2 0.203 0.750 0.490
Au3 0.408 0.750 0.879
# Energy relative to the lowest polymorph listed for this composition (kJ/mol of atoms): 0.00
# Total energy (eV for the cell shown): -29.82
# DFT formation energy (eV per atom): -0.16
# Mass density (kg/m³): 13742

=====

Look up the total energy of the third one.
-29.82 eV for the cell shown